Here is a relaxed PaFeAs2O8 crystal from Alexandria via LeMat-Bulk. Energies are from GGA+U.

abc: 5.9397 5.9397 5.9397
angles: 107.24 107.24 114.03
Last column: nearest neighbours and their distance in Å.
Sites, in units of the cell vectors:
O1 0.3106 0.4987 0.1881  1 As 1.80
O2 0.5013 0.6894 0.8119  1 As 1.80
As1 0.5000 0.5000 0.0000  4 O 1.80
O3 0.9290 0.2463 0.3172  1 As 1.73
O4 0.3106 0.1225 0.8119  1 As 1.80
Fe1 0.0000 0.0000 0.0000  8 O 2.28-2.41
O5 0.8775 0.6894 0.1881  1 As 1.80
O6 0.9290 0.6118 0.6828  1 As 1.73
O7 0.7537 0.0710 0.6828  1 As 1.73
O8 0.3882 0.0710 0.3172  1 As 1.73
Pa1 0.2500 0.7500 0.5000  8 O 2.23-2.44
As2 0.7500 0.2500 0.5000  4 O 1.73

Output
For the total energy, the calculation gives -85.92 eV per cell. As for the density of states at the Fermi level: 2.86 states/eV/f.u.